{"formula": "TcIr3", "functional": "GGA-PBEsol", "state": "relaxed", "lattice_angstrom": [[-1.360, 4.346, 2.366], [1.360, -4.346, 2.366], [1.360, 4.346, -2.366]], "species": ["Tc", "Ir", "Ir", "Ir"], "fractional_positions": [[0.000, 0.000, 0.000], [0.082, 0.334, 0.749], [0.499, 0.999, 0.500], [0.585, 0.334, 0.251]], "formation_energy_mev_per_atom": -126, "sg": "No. 44", "density_g_cm3": 20.024, "total_energy_ev_per_atom": -10.310, "magmom_total_mub_per_fu": 0.00}